(1)
A plane-wave DFT calculation with GGA-PBE was carried out for an optimized crystal structure of LaTbY5Er2.

abc: 5.6433 20.0443 10.5086
angles: 90.00 90.00 90.00
Space group Cmc2_1 (No. 36)
Asymmetric unit:
1 La 0.0000 0.0833 0.0000 (multiplicity 4)
2 Tb 0.0000 0.3034 0.5698 (multiplicity 4)
3 Y 0.0000 0.0218 0.2904 (multiplicity 4)
4 Y 0.0000 0.1165 0.5793 (multiplicity 4)
5 Y 0.0000 0.2026 0.2639 (multiplicity 4)
6 Y 0.0000 0.2223 0.8766 (multiplicity 4)
7 Y 0.0000 0.4838 0.5788 (multiplicity 4)
8 Er 0.0000 0.3880 0.2892 (multiplicity 4)
9 Er 0.0000 0.3877 0.8736 (multiplicity 4)

Values from the calculation:
formation enthalpy at 0 K	166	meV per atom

(2)
A plane-wave DFT calculation with GGA-PBE was carried out for an optimized crystal structure of La2Tb5YEr.

abc: 5.6655 19.9970 10.7261
angles: 90.00 90.00 90.00
Space group Cmc2_1 (No. 36)
Asymmetric unit:
1 La 0.0000 0.1134 0.0000 (multiplicity 4)
2 La 0.0000 0.1158 0.5841 (multiplicity 4)
3 Tb 0.0000 0.0157 0.2891 (multiplicity 4)
4 Tb 0.0000 0.2798 0.5760 (multiplicity 4)
5 Tb 0.0000 0.2988 0.9731 (multiplicity 4)
6 Tb 0.0000 0.3861 0.2879 (multiplicity 4)
7 Tb 0.0000 0.4808 0.0073 (multiplicity 4)
8 Y 0.0000 0.4110 0.7279 (multiplicity 4)
9 Er 0.0000 0.2006 0.2782 (multiplicity 4)

Values from the calculation:
formation enthalpy at 0 K	140	meV per atom

(3)
A plane-wave DFT calculation with GGA-PBE was carried out for an optimized crystal structure of La2TbYEr2.

abc: 5.6949 9.8675 7.1007
angles: 90.00 90.00 90.00
Space group Pmc2_1 (No. 26)
Asymmetric unit:
1 La 0.0000 0.0007 0.0000 (multiplicity 2)
2 La 0.5000 0.1765 0.2504 (multiplicity 2)
3 Tb 0.0000 0.3402 0.7498 (multiplicity 2)
4 Y 0.5000 0.4997 0.9999 (multiplicity 2)
5 Er 0.0000 0.3351 0.2502 (multiplicity 2)
6 Er 0.5000 0.1665 0.7498 (multiplicity 2)

Values from the calculation:
formation enthalpy at 0 K	66	meV per atom

(4)
A plane-wave DFT calculation with GGA-PBE was carried out for an optimized crystal structure of La2Tb2YEr2.

abc: 11.4093 5.1014 8.0482
angles: 90.00 98.43 90.00
Space group C2/m (No. 12)
Asymmetric unit:
1 La 0.1427 0.0000 0.4273 (multiplicity 4)
2 Tb 0.0709 0.5000 0.7197 (multiplicity 4)
3 Y 0.0000 0.0000 0.0000 (multiplicity 2)
4 Er 0.2157 0.5000 0.1380 (multiplicity 4)

Values from the calculation:
formation enthalpy at 0 K	32	meV per atom

Results for total magnetization: 0.00, 0.00, 0.00, 0.00 (in μB/atom, following the order of the records).